Here is crystalline HfGaMo at its relaxed geometry from the Alexandria database. Energies are from GGA-PBE.

Cell: 3.464 5.546 6.505 Å, 115.23 105.44 90.00°
Fractional positions:
Hf 0.312 0.312 0.624
Hf 0.688 0.688 0.376
Mo 0.000 0.285 0.000
Mo 0.000 0.715 0.000
Ga 0.379 0.879 0.758
Ga 0.621 0.121 0.242

Total moment: 0.00 μB/atom
Space group: Immm, No. 71
DOS at the Fermi energy: 0.693 states/eV per atom
Excess energy over the best structure of this formula in the dataset: 0.1087 eV per atom
Energy: -8.16 eV/atom
Calculated density: 10.58 Mg/m³
Formation enthalpy at 0 K: -22 kJ per mole of atoms

***

Here is crystalline MgZnO2 at its relaxed geometry from the Alexandria database. Energies are from GGA-PBE.

Cell: 5.248 5.248 5.248 Å, 33.71 33.71 33.71°
Fractional positions:
Zn 0.500 0.500 0.500
Mg 0.000 0.000 0.000
O 0.747 0.747 0.747
O 0.253 0.253 0.253

Total moment: 0.00 μB/atom
Space group: R-3m, No. 166
Energy relative to the elements, uncorrected: -193.0 kJ per mole of atoms
DOS at the Fermi energy: 0.000 states/eV per atom
Excess energy over the best structure of this formula in the dataset: 0.0414 eV per atom
Energy: -5.20 eV/atom
Calculated density: 5.10 Mg/m³

***

Here is crystalline Gd2GeO5 at its relaxed geometry from the Alexandria database. Energies are from GGA-PBE.

Cell: 7.065 6.930 9.538 Å, 79.30 90.00 90.00°
Fractional positions:
O 0.430 0.320 0.359
O 0.068 0.204 0.282
O 0.432 0.704 0.282
O 0.854 0.026 0.110
O 0.646 0.526 0.110
O 0.304 0.996 0.599
O 0.932 0.796 0.718
O 0.930 0.180 0.641
O 0.121 0.577 0.105
O 0.804 0.504 0.401
O 0.568 0.296 0.718
O 0.879 0.423 0.895
O 0.146 0.974 0.890
O 0.621 0.923 0.895
O 0.379 0.077 0.105
O 0.196 0.496 0.599
O 0.696 0.004 0.401
O 0.070 0.820 0.359
O 0.354 0.474 0.890
O 0.570 0.680 0.641
Gd 0.381 0.769 0.030
Gd 0.859 0.501 0.649
Gd 0.881 0.731 0.970
Gd 0.359 0.999 0.351
Gd 0.119 0.269 0.030
Gd 0.141 0.499 0.351
Gd 0.641 0.001 0.649
Gd 0.619 0.231 0.970
Ge 0.100 0.997 0.702
Ge 0.400 0.497 0.702
Ge 0.600 0.503 0.298
Ge 0.900 0.003 0.298

Total moment: 1.75 μB/atom
Space group: P2_1/c, No. 14
Energy relative to the elements, uncorrected: -276.1 kJ per mole of atoms
DOS at the Fermi energy: 0.000 states/eV per atom
Energy: -10.06 eV/atom
Calculated density: 6.76 Mg/m³

***

Here is crystalline SrMgSn2Hg at its relaxed geometry from the Alexandria database. Energies are from GGA-PBE.

Cell: 5.439 5.409 5.439 Å, 90.00 90.00 90.00°
Fractional positions:
Sn 0.500 0.000 0.000
Sn 0.000 0.000 0.500
Hg 0.000 0.500 0.000
Mg 0.000 0.000 0.000
Sr 0.500 0.500 0.500

Total moment: 0.00 μB/atom
Space group: P4/mmm, No. 123
DOS at the Fermi energy: 0.696 states/eV per atom
Excess energy over the best structure of this formula in the dataset: 0.2715 eV per atom
Energy: -2.41 eV/atom
Calculated density: 5.71 Mg/m³
Formation enthalpy at 0 K: -9 kJ per mole of atoms

***

Here is crystalline KFeAs2Ru at its relaxed geometry from the Alexandria database. Energies are from GGA-PBE.

Cell: 3.886 3.886 7.547 Å, 104.92 104.92 90.00°
Fractional positions:
As 0.353 0.353 0.705
As 0.647 0.647 0.295
Ru 0.750 0.250 0.500
Fe 0.250 0.750 0.500
K 0.000 0.000 0.000

Total moment: 0.30 μB/atom
Space group: I-4m2, No. 119
DOS at the Fermi energy: 0.818 states/eV per atom
Energy: -5.98 eV/atom
Calculated density: 5.41 Mg/m³
Formation enthalpy at 0 K: -34 kJ per mole of atoms

***

Here is crystalline Ce2YCr2C4 at its relaxed geometry from the Alexandria database. Energies are from GGA-PBE.

Cell: 3.397 6.825 6.024 Å, 108.14 90.00 104.41°
Fractional positions:
Ce 0.867 0.735 0.463
Ce 0.133 0.265 0.537
Cr 0.683 0.365 0.002
Cr 0.317 0.635 0.998
C 0.781 0.561 0.808
C 0.552 0.105 0.761
C 0.448 0.895 0.239
C 0.219 0.439 0.192
Y 0.000 0.000 0.000

Total moment: 0.00 μB/atom
Space group: C2/m, No. 12
DOS at the Fermi energy: 1.001 states/eV per atom
Energy: -8.41 eV/atom
Calculated density: 6.76 Mg/m³
Formation enthalpy at 0 K: -13 kJ per mole of atoms

***

calculated density of number 1 (HfGaMo)? 10.58 Mg/m³